An optimized crystal structure of Tl2Cu3MoF12. Source: Alexandria, functional PBE with a Hubbard U.

Geometry as CIF:
```
data_Tl2Cu3MoF12
_cell_length_a 8.240
_cell_length_b 8.240
_cell_length_c 8.240
_cell_angle_alpha 51.15
_cell_angle_beta 51.15
_cell_angle_gamma 51.15
_symmetry_space_group_name_H-M 'P 1'
_symmetry_Int_Tables_number 1
_symmetry_space_group_name_Hall 'P 1'
loop_
_atom_site_label
_atom_site_type_symbol
_atom_site_fract_x
_atom_site_fract_y
_atom_site_fract_z
F1 F 0.686 0.081 0.081
F2 F 0.314 0.919 0.919
F3 F 0.675 0.675 0.081
F4 F 0.081 0.081 0.686
F5 F 0.675 0.081 0.675
F6 F 0.919 0.325 0.325
F7 F 0.081 0.675 0.675
F8 F 0.919 0.314 0.919
F9 F 0.325 0.919 0.325
F10 F 0.081 0.686 0.081
F11 F 0.325 0.325 0.919
F12 F 0.919 0.919 0.314
Cu1 Cu 0.500 0.000 0.000
Cu2 Cu 0.000 0.500 0.000
Cu3 Cu 0.000 0.000 0.500
Mo1 Mo 0.000 0.000 0.000
Tl1 Tl 0.589 0.589 0.589
Tl2 Tl 0.411 0.411 0.411
```

Values from the calculation:
- mass density (Mg/m³) = 4.90
- calculated total energy (eV/atom) = -4.45
- Fermi-level density of states (states/eV/f.u.) = 8.76